TbVO3, optimized geometry, DFT PBE with a Hubbard U; total magnetization = 2.0 μB/f.u.; V = 11.79 Å³ per atom; calculated total energy = -8.25 eV per atom
1.0
5.7567 0.0000 0.0000
0.0000 7.6610 0.0000
0.0000 0.0000 5.3484
Tb V O
4 4 12
direct
0.0695 0.2500 0.0199
0.4305 0.7500 0.5199
0.5695 0.2500 0.4801
0.9305 0.7500 0.9801
0.0000 0.0000 0.5000
0.0000 0.5000 0.5000
0.5000 0.0000 0.0000
0.5000 0.5000 0.0000
0.0452 0.7500 0.3838
0.1895 0.5581 0.8046
0.1895 0.9419 0.8046
0.3105 0.0581 0.3046
0.3105 0.4419 0.3046
0.4548 0.2500 0.8838
0.5452 0.7500 0.1162
0.6895 0.5581 0.6954
0.6895 0.9419 0.6954
0.8105 0.0581 0.1954
0.8105 0.4419 0.1954
0.9548 0.2500 0.6162